Compound: Pr4Sn3Au
Source: Alexandria
Functional: PBE
Structure: optimized geometry

Cell and atoms, written as POSCAR:
```
Pr4Sn3Au
1.0
4.5040 0.0000 0.0000
0.0000 4.5435 0.0000
0.0000 0.0000 11.7918
Pr Sn Au
4 3 1
Direct
0.0000 0.0000 0.0000
0.0000 0.5000 0.4881
0.5000 0.0000 0.7164
0.5000 0.5000 0.2208
0.0000 0.5000 0.7656
0.5000 0.0000 0.4365
0.5000 0.5000 0.9427
0.0000 0.0000 0.2712
```

Output
SG	Pmm2 (25)
calculated formation energy	-0.75	eV per atom